[1]
VASP calculation (GGA-PBE) on a geometry-optimized LaTb2DySc2 structure.

## Properties
The total energy comes out at -4.967 eV per atom. The mass density comes out at 6.34 g/cm³. As for the formation enthalpy at 0 K: 0.28 eV per atom.

Geometry as CIF:
```
data_LaTb2DySc2
_chemical_formula_sum 'La2 Tb4 Dy2 Sc4'
_space_group_name_H-M_alt 'P n n m'
_space_group_IT_number 58
_cell_length_a 6.282
_cell_length_b 17.664
_cell_length_c 3.346
_cell_angle_alpha 90.00
_cell_angle_beta 90.00
_cell_angle_gamma 90.00
loop_
_space_group_symop_operation_xyz
'x,y,z'
'-x,-y,-z'
'-x,-y,z'
'x,y,-z'
'x+1/2,-y+1/2,-z+1/2'
'-x+1/2,y+1/2,z+1/2'
'-x+1/2,y+1/2,-z+1/2'
'x+1/2,-y+1/2,z+1/2'
loop_
_atom_site_label
_atom_site_type_symbol
_atom_site_fract_x
_atom_site_fract_y
_atom_site_fract_z
La1 La 0.000 0.000 0.000
Tb1 Tb 0.210 0.194 0.000
Dy1 Dy 0.000 0.500 0.000
Sc1 Sc 0.206 0.355 0.500
```

[2]
VASP calculation (GGA-PBE) on a geometry-optimized HgTe2 structure.

## Properties
The total energy comes out at -1.976 eV per atom. The mass density comes out at 7.90 g/cm³.

Geometry as CIF:
```
data_HgTe2
_chemical_formula_sum 'Hg4 Te8'
_space_group_name_H-M_alt 'P 63/m m c'
_space_group_IT_number 194
_space_group_name_Hall '-P 6c 2c'
_cell_length_a 6.4280
_cell_length_b 6.4280
_cell_length_c 10.7062
_cell_angle_alpha 90.00
_cell_angle_beta 90.00
_cell_angle_gamma 120.00
loop_
_atom_site_label
_atom_site_type_symbol
_atom_site_fract_x
_atom_site_fract_y
_atom_site_fract_z
Hg1 Hg 0.3333 0.6667 0.0461
Te1 Te 0.0000 0.0000 0.0000
Te2 Te 0.1638 0.3276 0.7500
```

[3]
VASP calculation (GGA-PBE) on a geometry-optimized Sm3Cu3Si structure.

## Properties
The total energy comes out at -4.904 eV per atom. The mass density comes out at 7.41 g/cm³.

Geometry as CIF:
```
data_Sm3Cu3Si
_chemical_formula_sum 'Sm12 Cu12 Si4'
_space_group_name_H-M_alt 'C 1 2/m 1'
_space_group_IT_number 12
_cell_length_a 10.377
_cell_length_b 4.164
_cell_length_c 14.726
_cell_angle_alpha 90.00
_cell_angle_beta 109.38
_cell_angle_gamma 90.00
loop_
_space_group_symop_operation_xyz
'x,y,z'
'-x,-y,-z'
'-x,y,-z'
'x,-y,z'
'x+1/2,y+1/2,z'
'-x+1/2,-y+1/2,-z'
'-x+1/2,y+1/2,-z'
'x+1/2,-y+1/2,z'
loop_
_atom_site_label
_atom_site_type_symbol
_atom_site_fract_x
_atom_site_fract_y
_atom_site_fract_z
Sm1 Sm 0.041 0.000 0.392
Sm2 Sm 0.100 0.000 0.919
Sm3 Sm 0.243 0.500 0.764
Cu1 Cu 0.050 0.500 0.237
Cu2 Cu 0.104 0.500 0.078
Cu3 Cu 0.141 0.500 0.540
Si1 Si 0.248 0.500 0.392
```

[4]
VASP calculation (GGA-PBE) on a geometry-optimized AcPbAu structure.

## Properties
The total energy comes out at -4.389 eV per atom. The mass density comes out at 10.90 g/cm³. As for the formation enthalpy at 0 K: -0.69 eV per atom.

Geometry as CIF:
```
data_AcPbAu
_chemical_formula_sum 'Ac4 Pb4 Au4'
_space_group_name_H-M_alt 'F -4 3 m'
_space_group_IT_number 216
_space_group_name_Hall 'F -4 2 3'
_cell_length_a 7.272
_cell_length_b 7.272
_cell_length_c 7.272
_cell_angle_alpha 90.00
_cell_angle_beta 90.00
_cell_angle_gamma 90.00
loop_
_atom_site_label
_atom_site_type_symbol
_atom_site_fract_x
_atom_site_fract_y
_atom_site_fract_z
Ac1 Ac 0.000 0.000 0.000
Pb1 Pb 0.000 0.000 0.500
Au1 Au 0.250 0.250 0.750
```

[5]
VASP calculation (GGA-PBE) on a geometry-optimized HfNbCI structure.

## Properties
The total energy comes out at -7.746 eV per atom. The mass density comes out at 8.92 g/cm³.

Geometry as CIF:
```
data_HfNbCI
_chemical_formula_sum 'Hf1 Nb1 C1 I1'
_space_group_name_H-M_alt 'P 4 m m'
_space_group_IT_number 99
_cell_length_a 3.285
_cell_length_b 3.285
_cell_length_c 7.079
_cell_angle_alpha 90.00
_cell_angle_beta 90.00
_cell_angle_gamma 90.00
loop_
_space_group_symop_operation_xyz
'x,y,z'
'-y,x,z'
'-x,-y,z'
'y,-x,z'
'-x,y,z'
'y,x,z'
'x,-y,z'
'-y,-x,z'
loop_
_atom_site_label
_atom_site_type_symbol
_atom_site_fract_x
_atom_site_fract_y
_atom_site_fract_z
Hf1 Hf 0.000 0.000 0.000
Nb1 Nb 0.500 0.500 0.686
C1 C 0.500 0.500 0.986
I1 I 0.000 0.000 0.427
```

[6]
VASP calculation (GGA-PBE) on a geometry-optimized CaLa2MgRu structure.

## Properties
The total energy comes out at -4.666 eV per atom. The mass density comes out at 4.37 g/cm³. As for the formation enthalpy at 0 K: -0.12 eV per atom.

Geometry as CIF:
```
data_CaLa2MgRu
_chemical_formula_sum 'Ca1 La2 Mg1 Ru1'
_space_group_name_H-M_alt 'P 4/m m m'
_space_group_IT_number 123
_space_group_name_Hall '-P 4 2'
_cell_length_a 5.394
_cell_length_b 5.394
_cell_length_c 5.783
_cell_angle_alpha 90.00
_cell_angle_beta 90.00
_cell_angle_gamma 90.00
loop_
_atom_site_label
_atom_site_type_symbol
_atom_site_fract_x
_atom_site_fract_y
_atom_site_fract_z
Ca1 Ca 0.000 0.000 0.000
La1 La 0.000 0.500 0.500
Mg1 Mg 0.500 0.500 0.000
Ru1 Ru 0.000 0.000 0.500
```